Material: Ca2In2Cu
Method: DFT, PBE
State: optimized geometry

POSCAR file:
```
Ca2In2Cu
1.0
-2.8772 -3.1040 -5.9660
6.6826 -0.5901 -2.9157
0.5167 -4.5086 2.0966
Cu Ca In
2 4 4
Direct
0.0000 0.0000 0.0000
0.5000 0.5000 0.0000
0.6682 0.8318 0.5000
0.3318 0.1682 0.5000
0.8318 0.3318 0.5000
0.1682 0.6682 0.5000
0.1431 0.3569 0.0000
0.8569 0.6431 0.0000
0.3569 0.8569 0.0000
0.6431 0.1431 0.0000
```

- ΔE_f: -0.22 eV per atom
- Volume: 133.7 Å³/f.u.